# 1
An optimized crystal structure of Sr2SnPbBr8. Source: Alexandria via LeMat-Bulk, functional GGA-PBE.

DOS(E_F) = 0.0000 states/eV per atom
formation energy from raw total energies = -1.4636 eV per atom
DFT total energy = -3.502 eV/atom

a b c (Å): 6.919 9.257 7.229
angles (deg): 90.00 90.39 90.00
Space group P2/m (No. 10)
Asymmetric unit:
Sr 0.000 0.249 0.000 x2
Sn 0.500 0.000 0.500 x1
Pb 0.500 0.500 0.500 x1
Br 0.237 0.500 0.158 x2
Br 0.240 0.000 0.162 x2
Br 0.265 0.246 0.657 x4


# 2
An optimized crystal structure of CuSn2O. Source: Alexandria via LeMat-Bulk, functional GGA-PBE.

DOS(E_F) = 0.2328 states/eV per atom
formation energy from raw total energies = -0.2969 eV per atom
DFT total energy = -4.562 eV/atom

a b c (Å): 5.352 5.352 11.749
angles (deg): 90.00 90.00 90.00
Space group I-42d (No. 122)
Asymmetric unit:
Cu 0.000 0.000 0.000 x4
Sn 0.203 0.250 0.625 x8
O 0.000 0.000 0.500 x4


# 3
An optimized crystal structure of TbBiSb. Source: Alexandria via LeMat-Bulk, functional GGA-PBE.

DOS(E_F) = 0.5977 states/eV per atom
formation energy from raw total energies = -0.5948 eV per atom
DFT total energy = -4.806 eV/atom

a b c (Å): 18.880 4.308 4.309
angles (deg): 90.00 90.00 90.00
Space group Pnma (No. 62)
Asymmetric unit:
Tb 0.129 0.250 0.249 x4
Bi 0.194 0.750 0.749 x4
Sb 0.000 0.250 0.750 x4


# 4
An optimized crystal structure of Th4P3N. Source: Alexandria via LeMat-Bulk, functional GGA-PBE.

DOS(E_F) = 0.8549 states/eV per atom
formation energy from raw total energies = -1.3520 eV per atom
DFT total energy = -8.131 eV/atom

a b c (Å): 5.721 5.721 5.721
angles (deg): 90.00 90.00 90.00
Space group Pm-3m (No. 221)
Asymmetric unit:
Th 0.000 0.000 0.000 x1
Th 0.000 0.500 0.500 x3
P 0.000 0.000 0.500 x3
N 0.500 0.500 0.500 x1


# 5
An optimized crystal structure of Tm2ScTc. Source: Alexandria via LeMat-Bulk, functional GGA-PBE.

DOS(E_F) = 1.3862 states/eV per atom
formation enthalpy at 0 K = 0.073 eV per atom
DFT total energy = -6.338 eV/atom

a b c (Å): 7.084 7.084 7.084
angles (deg): 90.00 90.00 90.00
Space group Fm-3m (No. 225)
Asymmetric unit:
Tm 0.250 0.250 0.250 x8
Sc 0.000 0.000 0.000 x4
Tc 0.000 0.000 0.500 x4


# 6
An optimized crystal structure of CoAgSn2. Source: Alexandria via LeMat-Bulk, functional GGA-PBE.

DOS(E_F) = 0.9509 states/eV per atom
formation enthalpy at 0 K = 0.347 eV per atom
DFT total energy = -4.143 eV/atom

a b c (Å): 4.445 4.445 17.508
angles (deg): 90.00 90.00 90.00
Space group I-42d (No. 122)
Asymmetric unit:
Co 0.000 0.000 0.000 x4
Ag 0.000 0.000 0.500 x4
Sn 0.226 0.250 0.125 x8


# 7
An optimized crystal structure of Ac2YRhO6. Source: Alexandria via LeMat-Bulk, functional GGA-PBE.

DOS(E_F) = 0.0000 states/eV per atom
formation energy from raw total energies = -2.6383 eV per atom
DFT total energy = -7.816 eV/atom

a b c (Å): 5.798 8.387 6.161
angles (deg): 90.00 90.00 90.00
Space group Pmmn (No. 59, origin choice 2)
Asymmetric unit:
Ac 0.250 0.026 0.207 x4
Y 0.250 0.250 0.714 x2
Rh 0.250 0.750 0.778 x2
O 0.001 0.250 0.990 x4
O 0.008 0.250 0.445 x4
O 0.250 0.507 0.791 x4


# 8
An optimized crystal structure of LaCeCdGe. Source: Alexandria via LeMat-Bulk, functional GGA-PBE.

DOS(E_F) = 2.3412 states/eV per atom
formation enthalpy at 0 K = -0.423 eV per atom
DFT total energy = -4.521 eV/atom

a b c (Å): 7.559 7.559 7.559
angles (deg): 90.00 90.00 90.00
Space group F-43m (No. 216)
Asymmetric unit:
La 0.000 0.000 0.000 x4
Ce 0.000 0.000 0.500 x4
Cd 0.250 0.250 0.750 x4
Ge 0.250 0.250 0.250 x4


# 9
An optimized crystal structure of InAu3O. Source: Alexandria via LeMat-Bulk, functional GGA-PBE.

DOS(E_F) = 1.6283 states/eV per atom
formation energy from raw total energies = 1.2021 eV per atom
DFT total energy = -2.304 eV/atom

a b c (Å): 5.198 5.198 5.198
angles (deg): 90.00 90.00 90.00
Space group Pm-3m (No. 221)
Asymmetric unit:
In 0.000 0.000 0.000 x1
Au 0.000 0.000 0.500 x3
O 0.500 0.500 0.500 x1